Sr2SiW PBE-GGA relaxed; V = 25.82 Å³/atom; magnetic moment = 1.18 μB per cell; crystal system = monoclinic; space-group type = C2/m; ΔE_f (raw) = 1.099 eV/atom
1.0
5.2869 0.0161 -0.0060
4.4052 2.9233 -0.0060
0.6616 0.2007 6.7119
Si Sr W
1 2 1
Direct
0.2500 0.2500 0.2500
0.9955 0.9955 0.0033
0.5045 0.5045 0.4967
0.7500 0.7500 0.7500